VASP calculation (GGA-PBE) on Pm3Pr4Y5 after structural relaxation.

Properties
**Offset from the most stable computed form**: 0.000 eV/f.u.
**Space group**: P-1, No. 2
**Formation energy**: 0.014 eV/atom

Cell: 7.2704 8.9104 9.6259 Å, 90.20 40.95 90.18°
Closest atoms and distances in Å follow each position.
Positions (direct):
Pm1 0.4165 0.8309 0.3323  5 Y 3.61-3.67, 1 Pm 3.61, 6 Pr 3.62-3.68
Pm2 0.0000 0.5000 0.5000  2 Pm 3.61, 8 Y 3.62-3.64, 2 Pr 3.62
Pm3 0.5835 0.1691 0.6677  5 Y 3.61-3.67, 1 Pm 3.61, 6 Pr 3.62-3.68
Pr1 0.0811 0.1692 0.6674  4 Pm 3.62-3.68, 5 Y 3.62-3.66, 3 Pr 3.64-3.67
Pr2 0.1692 0.8324 0.8308  5 Y 3.62-3.65, 4 Pr 3.64-3.67, 3 Pm 3.64-3.66
Pr3 0.8308 0.1676 0.1692  5 Y 3.62-3.65, 4 Pr 3.64-3.67, 3 Pm 3.64-3.66
Pr4 0.9189 0.8308 0.3326  4 Pm 3.62-3.68, 5 Y 3.62-3.66, 3 Pr 3.64-3.67
Y1 0.6675 0.8310 0.8329  3 Y 3.61-3.67, 4 Pm 3.62-3.67, 5 Pr 3.63-3.66
Y2 0.5000 0.5000 0.5000  4 Pr 3.62, 4 Pm 3.63-3.64, 4 Y 3.64-3.65
Y3 0.2524 0.4996 0.9995  6 Y 3.61-3.66, 3 Pm 3.61-3.64, 3 Pr 3.62-3.65
Y4 0.7476 0.5004 0.0005  6 Y 3.61-3.66, 3 Pm 3.61-3.64, 3 Pr 3.62-3.65
Y5 0.3325 0.1690 0.1671  3 Y 3.61-3.67, 4 Pm 3.62-3.67, 5 Pr 3.63-3.66

***

VASP calculation (GGA-PBE) on PmPr2Y after structural relaxation.

Properties
**Offset from the most stable computed form**: 0.000 eV/f.u.
**Space group**: R-3m, No. 166
**Formation energy**: 0.009 eV/atom

Cell: 3.6699 3.6699 12.0805 Å, 81.26 81.26 60.00°
Closest atoms and distances in Å follow each position.
Positions (direct):
Pr1 0.7508 0.7508 0.7476  3 Y 3.63, 6 Pr 3.67, 3 Pm 3.67
Pr2 0.2492 0.2492 0.2524  3 Y 3.63, 6 Pr 3.67, 3 Pm 3.67
Y1 0.5000 0.5000 0.5000  6 Pr 3.63, 6 Y 3.67
Pm1 0.0000 0.0000 0.0000  6 Pm 3.67, 6 Pr 3.67

***

VASP calculation (GGA-PBE) on Pm12Pr5Y2 after structural relaxation.

Properties
**Offset from the most stable computed form**: 0.000 eV/f.u.
**Space group**: C2/m, No. 12
**Formation energy**: 0.121 eV/atom

Cell: 8.0396 9.5773 9.5773 Å, 65.75 89.04 89.04°
Closest atoms and distances in Å follow each position.
Positions (direct):
Pm1 0.8831 0.1514 0.1514  2 Pr 3.29-3.62, 2 Y 3.58, 2 Pm 3.60
Pm2 0.7958 0.0381 0.5766  1 Y 3.54, 6 Pm 3.56-3.81, 4 Pr 3.59-3.74
Pm3 0.7958 0.5766 0.0381  1 Y 3.54, 6 Pm 3.56-3.81, 4 Pr 3.59-3.74
Pm4 0.3897 0.1704 0.6189  4 Pr 3.46-3.72, 6 Pm 3.50-3.86, 1 Y 3.55
Pm5 0.3897 0.6189 0.1704  4 Pr 3.46-3.72, 6 Pm 3.50-3.86, 1 Y 3.55
Pm6 0.7066 0.4491 0.4491  3 Pr 3.34-3.67, 7 Pm 3.50-3.67, 2 Y 3.71
Pm7 0.2934 0.5509 0.5509  3 Pr 3.34-3.67, 7 Pm 3.50-3.67, 2 Y 3.71
Pm8 0.6103 0.8296 0.3811  4 Pr 3.46-3.72, 6 Pm 3.50-3.86, 1 Y 3.55
Pm9 0.6103 0.3811 0.8296  4 Pr 3.46-3.72, 6 Pm 3.50-3.86, 1 Y 3.55
Pm10 0.2042 0.9619 0.4234  1 Y 3.54, 6 Pm 3.56-3.81, 4 Pr 3.59-3.74
Pm11 0.2042 0.4234 0.9619  1 Y 3.54, 6 Pm 3.56-3.81, 4 Pr 3.59-3.74
Pm12 0.1169 0.8486 0.8486  2 Pr 3.29-3.62, 2 Y 3.58, 2 Pm 3.60
Pr1 0.5161 0.2459 0.2459  6 Pm 3.29-3.64
Pr2 0.0781 0.3520 0.3520  9 Pm 3.34-3.68, 2 Y 3.67
Pr3 0.5000 0.0000 0.0000  4 Pm 3.46
Pr4 0.9219 0.6480 0.6480  9 Pm 3.34-3.68, 2 Y 3.67
Pr5 0.4839 0.7541 0.7541  6 Pm 3.29-3.64
Y1 0.0000 0.7626 0.2374  8 Pm 3.54-3.71, 2 Pr 3.67
Y2 0.0000 0.2374 0.7626  8 Pm 3.54-3.71, 2 Pr 3.67

***

VASP calculation (GGA-PBE) on PmPrY5 after structural relaxation.

Properties
**Offset from the most stable computed form**: 6.824 eV/f.u.
**Space group**: Immm, No. 71
**Formation energy**: 1.072 eV/atom

Cell: 5.8020 7.8902 7.8902 Å, 66.39 68.43 68.43°
Closest atoms and distances in Å follow each position.
Positions (direct):
Pm1 0.5000 0.5000 0.5000  6 Y 2.77-2.94
Pr1 0.0000 0.0000 0.0000  6 Y 2.99-3.29
Y1 0.5000 0.1798 0.8202  1 Pm 2.77
Y2 0.5000 0.8202 0.1798  1 Pm 2.77
Y3 0.7481 0.2519 0.2519  1 Pm 2.94, 1 Pr 2.99
Y4 0.2519 0.7481 0.7481  1 Pm 2.94, 1 Pr 2.99
Y5 0.0000 0.5000 0.5000  2 Pm 2.90

***

VASP calculation (GGA-PBE) on Pm3Pr8Y4 after structural relaxation.

Properties
**Space group**: C2/m, No. 12
**Formation energy**: 0.313 eV/atom

Cell: 6.9864 9.3645 9.3645 Å, 82.45 111.31 111.31°
Closest atoms and distances in Å follow each position.
Positions (direct):
Pm1 0.5000 0.5000 0.0000  8 Pr 3.48-3.63, 2 Y 3.49
Pm2 0.5000 0.0000 0.5000  8 Pr 3.48-3.63, 2 Y 3.49
Pm3 0.5000 0.5000 0.5000  4 Pr 3.12
Pr1 0.8072 0.2959 0.2959  4 Pr 3.50-3.59, 3 Y 3.55-3.65, 2 Pm 3.63
Pr2 0.0000 0.7056 0.2944  4 Pr 3.54-3.57, 3 Y 3.56-3.63, 2 Pm 3.61
Pr3 0.2664 0.2469 0.2469  1 Y 3.05, 1 Pm 3.12
Pr4 0.5000 0.7525 0.2475  1 Y 3.05, 1 Pm 3.12
Pr5 0.5000 0.2475 0.7525  1 Y 3.05, 1 Pm 3.12
Pr6 0.7336 0.7531 0.7531  1 Y 3.05, 1 Pm 3.12
Pr7 0.0000 0.2944 0.7056  4 Pr 3.54-3.57, 3 Y 3.56-3.63, 2 Pm 3.61
Pr8 0.1928 0.7041 0.7041  4 Pr 3.50-3.59, 3 Y 3.55-3.65, 2 Pm 3.63
Y1 0.5000 0.0000 0.0000  2 Pr 3.05
Y2 0.0000 0.5000 0.0000  2 Pm 3.49, 8 Pr 3.55-3.61
Y3 0.0000 0.0000 0.0000  2 Pr 3.05
Y4 0.0000 0.0000 0.5000  2 Pm 3.49, 8 Pr 3.55-3.61

***

VASP calculation (GGA-PBE) on Pm2PrY8 after structural relaxation.

Properties
**Offset from the most stable computed form**: 0.000 eV/f.u.
**Space group**: C2/m, No. 12
**Formation energy**: 0.155 eV/atom

Cell: 5.9422 9.0892 9.2486 Å, 60.57 75.03 58.29°
Closest atoms and distances in Å follow each position.
Positions (direct):
Pm1 0.0000 0.3055 0.3889  8 Y 3.35-3.48
Pm2 0.0000 0.6945 0.6111  8 Y 3.35-3.48
Pr1 0.5000 0.0000 0.0000  4 Y 3.38
Y1 0.8330 0.0986 0.2318  5 Y 3.31-3.70, 2 Pm 3.47-3.48
Y2 0.8330 0.3304 0.7682  5 Y 3.31-3.70, 2 Pm 3.47-3.48
Y3 0.2954 0.4242 0.0000  4 Y 3.02-3.37, 1 Pr 3.38
Y4 0.5000 0.7900 0.4201  2 Pm 3.35, 1 Pr 3.38, 4 Y 3.62-3.70
Y5 0.5000 0.2100 0.5799  2 Pm 3.35, 1 Pr 3.38, 4 Y 3.62-3.70
Y6 0.7046 0.5758 0.0000  4 Y 3.02-3.37, 1 Pr 3.38
Y7 0.1670 0.6696 0.2318  5 Y 3.31-3.70, 2 Pm 3.47-3.48
Y8 0.1670 0.9014 0.7682  5 Y 3.31-3.70, 2 Pm 3.47-3.48

***

The evaluated DOS(E_F) for the records listed, in turn: 1.4389; 1.2433; 1.4439; 1.5268; 1.5367; 1.6089 states/eV/atom.